[1]
Computed, not measured: an optimized crystal structure of KTaNO2 at the PBE level of DFT.

Cell lengths 4.049, 4.049, 4.157 Å; angles 90.00, 90.00, 90.00 degrees
Last column: magnetic moment on the atom in μB.
Sites, in units of the cell vectors:
O: 0.000 0.500 0.000  0.12
N: 0.000 0.000 0.500  0.56
O: 0.500 0.000 0.000  0.12
K: 0.500 0.500 0.500  0.01
Ta: 0.000 0.000 0.000  -0.10

Properties
raw formation energy = -801 kJ/mol of formula units
total moment = 1.00 μB per formula unit
D(E_F) = 1.90 states/eV per cell

***

[2]
Computed, not measured: an optimized crystal structure of TaHgTe4 at the PBE level of DFT.

Cell lengths 6.700, 8.284, 8.727 Å; angles 61.67, 78.35, 64.81 degrees
Sites, in units of the cell vectors:
Te: 0.053 0.045 0.710
Te: 0.356 0.201 0.147
Te: 0.447 0.245 0.710
Te: 0.856 0.348 0.853
Hg: 0.250 0.647 0.705
Te: 0.144 0.652 0.147
Ta: 0.250 0.999 0.001
Te: 0.553 0.755 0.290
Te: 0.947 0.955 0.290
Ta: 0.750 0.001 0.999
Hg: 0.750 0.353 0.295
Te: 0.644 0.799 0.853

Properties
energy above the most stable polymorph in this dataset = 0.0000 eV/atom
raw formation energy = -98 kJ/mol of formula units
total moment = 0.00 μB per formula unit
D(E_F) = 4.68 states/eV per cell

***

[3]
Computed, not measured: an optimized crystal structure of K5B19O31 at the PBE level of DFT.

Cell lengths 10.800, 10.800, 13.130 Å; angles 85.33, 85.33, 65.81 degrees
Sites, in units of the cell vectors:
B: 0.300 0.045 0.537
O: 0.060 0.344 0.767
B: 0.245 0.107 0.354
O: 0.755 0.772 0.122
B: 0.107 0.245 0.854
B: 0.315 0.717 0.996
B: 0.210 0.524 0.428
O: 0.488 0.337 0.864
O: 0.362 0.593 0.053
O: 0.792 0.034 0.809
O: 0.228 0.245 0.378
B: 0.244 0.278 0.474
B: 0.676 0.175 0.366
B: 0.900 0.965 0.742
O: 0.663 0.512 0.636
B: 0.333 0.976 0.198
K: 0.621 0.706 0.306
O: 0.555 0.096 0.861
O: 0.748 0.209 0.433
O: 0.595 0.779 0.001
O: 0.327 0.954 0.622
O: 0.245 0.228 0.878
O: 0.438 0.515 0.666
B: 0.667 0.024 0.802
K: 0.000 0.000 0.500
B: 0.609 0.391 0.250
B: 0.024 0.667 0.302
O: 0.034 0.792 0.309
O: 0.186 0.638 0.493
B: 0.893 0.755 0.146
O: 0.221 0.405 0.499
B: 0.524 0.210 0.928
O: 0.891 0.886 0.670
O: 0.814 0.362 0.507
B: 0.565 0.468 0.619
K: 0.000 0.000 0.000
O: 0.362 0.814 0.007
O: 0.208 0.966 0.191
O: 0.009 0.290 0.943
O: 0.638 0.407 0.947
O: 0.253 0.615 0.784
B: 0.700 0.955 0.463
O: 0.615 0.253 0.284
O: 0.656 0.940 0.733
O: 0.717 0.823 0.446
O: 0.562 0.485 0.334
O: 0.021 0.979 0.750
O: 0.344 0.060 0.267
B: 0.175 0.676 0.866
O: 0.385 0.747 0.716
B: 0.468 0.565 0.119
O: 0.823 0.717 0.946
B: 0.955 0.700 0.963
K: 0.600 0.052 0.169
O: 0.638 0.186 0.993
B: 0.435 0.532 0.381
O: 0.405 0.221 0.999
O: 0.515 0.438 0.166
B: 0.278 0.244 0.974
O: 0.904 0.445 0.639
O: 0.512 0.663 0.136
K: 0.706 0.621 0.806
O: 0.673 0.046 0.378
B: 0.790 0.476 0.572
O: 0.485 0.562 0.834
K: 0.948 0.400 0.331
B: 0.283 0.685 0.504
O: 0.593 0.362 0.553
O: 0.747 0.385 0.216
O: 0.096 0.555 0.361
B: 0.391 0.609 0.750
B: 0.685 0.283 0.004
B: 0.717 0.315 0.496
O: 0.252 0.791 0.567
K: 0.400 0.948 0.831
O: 0.791 0.252 0.067
O: 0.337 0.488 0.364
O: 0.710 0.991 0.557
B: 0.722 0.756 0.026
B: 0.045 0.300 0.037
O: 0.283 0.177 0.554
O: 0.886 0.891 0.170
B: 0.825 0.324 0.134
O: 0.779 0.595 0.501
B: 0.965 0.900 0.242
O: 0.407 0.638 0.447
B: 0.035 0.100 0.758
B: 0.756 0.722 0.526
O: 0.954 0.327 0.122
O: 0.290 0.009 0.443
O: 0.209 0.748 0.933
K: 0.379 0.294 0.694
B: 0.532 0.435 0.881
O: 0.940 0.656 0.233
O: 0.772 0.755 0.622
B: 0.476 0.790 0.072
O: 0.109 0.114 0.330
O: 0.046 0.673 0.878
O: 0.991 0.710 0.057
O: 0.177 0.283 0.054
B: 0.755 0.893 0.646
O: 0.114 0.109 0.830
O: 0.979 0.021 0.250
B: 0.100 0.035 0.258
B: 0.976 0.333 0.698
B: 0.324 0.825 0.634
K: 0.052 0.600 0.669
O: 0.445 0.904 0.139
O: 0.966 0.208 0.691
K: 0.294 0.379 0.194

Properties
raw formation energy = -12954 kJ/mol of formula units
total moment = 0.00 μB per formula unit
D(E_F) = 0.00 states/eV per cell

***

[4]
Computed, not measured: an optimized crystal structure of DyFeCuC at the PBE level of DFT.

Cell lengths 3.401, 3.401, 9.671 Å; angles 90.00, 90.00, 90.00 degrees
Sites, in units of the cell vectors:
Fe: 0.750 0.250 0.000
Cu: 0.750 0.250 0.500
Dy: 0.250 0.250 0.758
C: 0.250 0.250 0.103
Cu: 0.250 0.750 0.500
Fe: 0.250 0.750 0.000
C: 0.750 0.750 0.897
Dy: 0.750 0.750 0.242

Properties
total moment = 0.00 μB per formula unit
D(E_F) = 5.04 states/eV per cell
formation energy = -58 kJ/mol of formula units

***

[5]
Computed, not measured: an optimized crystal structure of ZrTeIrI2 at the PBE level of DFT.

Cell lengths 5.279, 5.279, 5.336 Å; angles 90.00, 90.00, 90.00 degrees
Last column: magnetic moment on the atom in μB.
Sites, in units of the cell vectors:
I: 0.000 0.500 0.000  -0.05
I: 0.500 0.000 0.000  -0.05
Ir: 0.000 0.000 0.000  -0.06
Te: 0.000 0.000 0.500  -0.10
Zr: 0.500 0.500 0.500  1.20

Properties
energy above the most stable polymorph in this dataset = 0.0000 eV/atom
raw formation energy = 296 kJ/mol of formula units
total moment = 1.56 μB per formula unit
D(E_F) = 6.54 states/eV per cell

***

[6]
Computed, not measured: an optimized crystal structure of Zn2PRh at the PBE level of DFT.

Cell lengths 4.718, 4.718, 4.718 Å; angles 132.39, 132.39, 69.61 degrees
Sites, in units of the cell vectors:
P: 0.500 0.500 0.000
Rh: 0.750 0.250 0.500
Zn: 0.000 0.000 0.000
Zn: 0.250 0.750 0.500

Properties
total moment = 0.00 μB per formula unit
D(E_F) = 1.60 states/eV per cell
formation energy = -50 kJ/mol of formula units